DFT (PBE) results for a relaxed structure of Tb5PdSe4.

For the uncorrected formation energy, the calculation gives -1.593 eV per atom. The calculation puts the size of the total moment at 0.00 Bohr magnetons per cell. The symmetry is C2/m. Its calculated volume is 24.56 A^3/atom.

The structure in extended XYZ format:
```
10
Lattice="6.918 -2.017 0.000 6.918 2.017 0.000 -5.098 0.000 8.803" Properties=species:S:1:pos:R:3 pbc="T T T"
Tb 0.000 0.000 0.000
Tb -1.321 0.000 7.009
Tb 2.574 0.000 5.250
Tb 6.163 0.000 3.553
Tb 10.057 0.000 1.794
Pd -2.549 0.000 4.402
Se 1.202 0.000 2.642
Se 5.015 0.000 0.827
Se 3.721 0.000 7.976
Se 7.534 0.000 6.161
```